Record 1
# PBE Sr2ScHg, relaxed
data_Sr2ScHg
_cell_length_a 3.9358
_cell_length_b 3.9358
_cell_length_c 32.6545
_cell_angle_alpha 90.00
_cell_angle_beta 90.00
_cell_angle_gamma 120.00
_symmetry_space_group_name_H-M 'R -3 m'
_symmetry_Int_Tables_number 166
_symmetry_space_group_name_Hall '-R 3 2"'
loop_
_atom_site_label
_atom_site_type_symbol
_atom_site_fract_x
_atom_site_fract_y
_atom_site_fract_z
Sr1 Sr 0.0000 0.0000 0.2434
Sc1 Sc 0.0000 0.0000 0.0000
Hg1 Hg 0.0000 0.0000 0.5000
# D(E_F) ... 20.31 states/eV/cell
# Energy of formation ... 0.07 eV/atom
# Offset from the most stable computed form ... 0.201 eV per atom



Record 2
# PBE CsTi3Ge, relaxed
data_CsTi3Ge
_cell_length_a 5.044
_cell_length_b 5.044
_cell_length_c 5.044
_cell_angle_alpha 90.00
_cell_angle_beta 90.00
_cell_angle_gamma 90.00
_symmetry_space_group_name_H-M 'P m -3 m'
_symmetry_Int_Tables_number 221
_symmetry_space_group_name_Hall '-P 4 2 3'
loop_
_atom_site_label
_atom_site_type_symbol
_atom_site_fract_x
_atom_site_fract_y
_atom_site_fract_z
Cs1 Cs 0.000 0.000 0.000
Ti1 Ti 0.000 0.500 0.500
Ge1 Ge 0.500 0.500 0.500
# D(E_F) ... 6.07 states/eV/cell
# Energy of formation ... 0.93 eV/atom
# Offset from the most stable computed form ... 0.000 eV per atom



Record 3
# PBE CdRe2Pt, relaxed
data_CdRe2Pt
_cell_length_a 2.738
_cell_length_b 2.738
_cell_length_c 8.646
_cell_angle_alpha 90.00
_cell_angle_beta 90.00
_cell_angle_gamma 90.00
_symmetry_space_group_name_H-M 'P 4/m m m'
_symmetry_Int_Tables_number 123
_symmetry_space_group_name_Hall '-P 4 2'
loop_
_atom_site_label
_atom_site_type_symbol
_atom_site_fract_x
_atom_site_fract_y
_atom_site_fract_z
Cd1 Cd 0.000 0.000 0.000
Re1 Re 0.500 0.500 0.266
Pt1 Pt 0.000 0.000 0.500
# D(E_F) ... 4.28 states/eV/cell
# Energy of formation ... 0.42 eV/atom